The following is a DFT calculation (PBE-GGA) of an optimized crystal structure of Ce4TeP3.

Output
E_form (uncorrected) (eV per atom): -1.4699
Energy (eV per cell): -109.73

Cell lengths 4.1513, 4.1513, 28.0976 Å; angles 90.00, 90.00, 120.00 degrees
Last column: nearest neighbours and their distance in Å.
Space group P6_3/mmc (No. 194)
One atom of each set of equivalent atoms:
1 Ce 0.0000 0.0000 0.1731 [4 per cell]  3 P 2.86
2 Ce 0.3333 0.6667 0.0582 [4 per cell]  6 P 2.90-2.93
3 Te 0.3333 0.6667 0.2500 [2 per cell]  6 Ce 3.23
4 P 0.0000 0.0000 0.0000 [2 per cell]  6 Ce 2.90
5 P 0.3333 0.6667 0.6179 [4 per cell]  6 Ce 2.86-2.93